Entry one
# BaThPb2

BaThPb2 after structural relaxation (GGA-PBE, the Alexandria database).

```
data_BaThPb2
_chemical_formula_sum 'Ba1 Th1 Pb2'
_symmetry_space_group_name_H-M 'P 4/m m m'
_symmetry_Int_Tables_number 123
_symmetry_space_group_name_Hall '-P 4 2'
_cell_length_a 6.213
_cell_length_b 6.213
_cell_length_c 3.467
_cell_angle_alpha 90.00
_cell_angle_beta 90.00
_cell_angle_gamma 90.00
loop_
_atom_site_label
_atom_site_type_symbol
_atom_site_fract_x
_atom_site_fract_y
_atom_site_fract_z
Ba1 Ba 0.000 0.000 0.000
Th1 Th 0.500 0.500 0.000
Pb1 Pb 0.000 0.500 0.500
```

Computed properties:
- crystal system = tetragonal

Entry two
# BaThPb2

BaThPb2 after structural relaxation (GGA-PBE, the Alexandria database).

```
data_BaThPb2
_chemical_formula_sum 'Ba3 Th3 Pb6'
_symmetry_space_group_name_H-M 'R -3 m'
_symmetry_Int_Tables_number 166
_symmetry_space_group_name_Hall '-R 3 2"'
_cell_length_a 5.1658
_cell_length_b 5.1658
_cell_length_c 20.4631
_cell_angle_alpha 90.00
_cell_angle_beta 90.00
_cell_angle_gamma 120.00
loop_
_atom_site_label
_atom_site_type_symbol
_atom_site_fract_x
_atom_site_fract_y
_atom_site_fract_z
Ba1 Ba 0.0000 0.0000 0.0000
Th1 Th 0.0000 0.0000 0.5000
Pb1 Pb 0.0000 0.0000 0.2313
```

Computed properties:
- crystal system = trigonal

Short version: entry two is the least stable of them.